Co3SiH: optimized geometry, PBE.

Volume: 141.7 Å³ per cell
Theoretical density: 4.82 g cm⁻³
Energy relative to the lowest polymorph listed for this composition: 1002 meV per atom

Cell lengths 4.1827, 4.1827, 8.6240 Å; angles 75.97, 75.97, 90.00 degrees
Closest atoms and distances in Å follow each position.
Sites, in units of the cell vectors:
H  0.6439  0.1439  0.7123  6 Co 2.15-2.35
H  0.8561  0.3561  0.2877  6 Co 2.15-2.35
Si  0.0000  0.0000  0.0000  4 Co 2.27
Si  0.2500  0.7500  0.5000  8 Co 2.29-2.43
Co  0.6312  0.8746  0.2507  2 Co 2.04-2.15, 1 Si 2.27
Co  0.1254  0.3688  0.7493  2 Co 2.04-2.15, 1 Si 2.27
Co  0.1254  0.8819  0.7493  2 Co 2.04-2.15, 1 Si 2.27
Co  0.1181  0.8746  0.2507  2 Co 2.04-2.15, 1 Si 2.27
Co  0.3260  0.3260  0.3480  2 H 2.15
Co  0.6740  0.6740  0.6520  2 H 2.15